No. 1
Li2CaOsC, relaxed, DFT PBE; formation energy = 0.15 eV/atom
1.0
4.3169 0.0000 0.0000
0.0000 4.3169 0.0000
0.0000 0.0000 4.0196
Li Ca Os C
2 1 1 1
direct
0.0000 0.5000 0.0000
0.5000 0.0000 0.0000
0.0000 0.0000 0.5000
0.5000 0.5000 0.5000
0.5000 0.5000 0.0000

***

No. 2
Sc3InO, relaxed, DFT PBE; energy relative to the elements, uncorrected = -1.176 eV per atom
1.0
4.8709 0.0000 0.0000
0.0000 6.2551 0.0000
-1.8941 0.0000 7.2444
Sc In O
6 2 2
direct
0.1434 0.2500 0.1332
0.2992 0.5015 0.6402
0.2992 0.9985 0.6402
0.7008 0.0015 0.3598
0.7008 0.4985 0.3598
0.8566 0.7500 0.8668
0.1650 0.7500 0.2647
0.8350 0.2500 0.7353
0.4270 0.7500 0.8119
0.5730 0.2500 0.1881

***

No. 3
ZrRe2MoC, relaxed, DFT PBE; formation energy = 2.83 eV/atom
1.0
4.6564 0.0000 0.0000
0.0000 4.6564 0.0000
0.0000 0.0000 5.0481
Zr Re Mo C
1 2 1 1
direct
0.0000 0.0000 0.0000
0.0000 0.5000 0.5000
0.5000 0.0000 0.5000
0.0000 0.0000 0.5000
0.5000 0.5000 0.0000

***

No. 4
Nd8NiRu3I4, relaxed, DFT PBE; energy relative to the elements, uncorrected = -0.654 eV per atom
1.0
7.1811 -4.1384 0.0000
7.1811 4.1384 0.0000
-4.7997 0.0000 8.1928
Nd Ni Ru I
8 1 3 4
direct
0.2244 0.7302 0.6846
0.2295 0.2295 0.6882
0.2699 0.2699 0.3153
0.2698 0.7756 0.3154
0.7302 0.2244 0.6846
0.7301 0.7301 0.6847
0.7705 0.7705 0.3118
0.7756 0.2698 0.3154
0.5000 0.5000 0.5000
0.0000 0.0000 0.5000
0.0000 0.5000 0.5000
0.5000 0.0000 0.5000
0.0000 0.0000 0.0000
0.0000 0.5000 0.0000
0.5000 0.0000 0.0000
0.5000 0.5000 0.0000

***

What did the second record say?
Sc3InO, relaxed, DFT PBE; energy relative to the elements, uncorrected = -1.176 eV per atom
1.0
4.8709 0.0000 0.0000
0.0000 6.2551 0.0000
-1.8941 0.0000 7.2444
Sc In O
6 2 2
direct
0.1434 0.2500 0.1332
0.2992 0.5015 0.6402
0.2992 0.9985 0.6402
0.7008 0.0015 0.3598
0.7008 0.4985 0.3598
0.8566 0.7500 0.8668
0.1650 0.7500 0.2647
0.8350 0.2500 0.7353
0.4270 0.7500 0.8119
0.5730 0.2500 0.1881